1.
The following is a DFT calculation (GGA-PBEsol) of a geometry-optimized SrLiRu structure.

Cell: 3.292 3.292 7.079 Å, 90.00 90.00 120.00°
Fractional positions:
Ru: 0.333 0.667 0.683
Li: 0.000 0.000 0.928
Sr: 0.667 0.333 0.390

Results
Magnetization = 0.000 μB/f.u.
Raw total energy = -0.28332 Ry per atom

2.
The following is a DFT calculation (GGA-PBEsol) of a geometry-optimized AlNi structure.

Cell: 2.702 5.056 5.699 Å, 104.69 103.71 90.00°
Fractional positions:
Al: 0.830 0.713 0.660
Ni: 0.838 0.196 0.675
Ni: 0.162 0.804 0.325
Ni: 0.500 0.000 0.000
Al: 0.500 0.500 0.000
Al: 0.170 0.287 0.340

Results
Magnetization = 0.000 μB/f.u.
Raw total energy = -0.40902 Ry per atom

3.
The following is a DFT calculation (GGA-PBEsol) of a geometry-optimized KZn3Ru structure.

Cell: 4.811 4.811 4.811 Å, 90.00 90.00 90.00°
Fractional positions:
Ru: 0.000 0.000 0.000
Zn: 0.000 0.000 0.500
K: 0.500 0.500 0.500
Zn: 0.500 0.000 0.000
Zn: 0.000 0.500 0.000

Results
Magnetization = 0.000 μB/f.u.
Raw total energy = -0.21828 Ry per atom

4.
The following is a DFT calculation (GGA-PBEsol) of a geometry-optimized Nb2FeWC structure.

Cell: 4.262 4.830 4.830 Å, 90.00 90.00 90.00°
Fractional positions:
W: 0.000 0.000 0.000
Nb: 0.000 0.000 0.500
C: 0.500 0.500 0.500
Fe: 0.500 0.000 0.000
Nb: 0.000 0.500 0.000

Results
Magnetization = 1.198 μB/f.u.
Raw total energy = -0.59465 Ry per atom

5.
The following is a DFT calculation (GGA-PBEsol) of a geometry-optimized La2ReIr structure.

Cell: 3.657 4.895 4.895 Å, 90.00 90.00 90.00°
Fractional positions:
La: 0.000 0.000 0.500
Ir: 0.500 0.000 0.000
Re: 0.500 0.500 0.500
La: 0.000 0.500 0.000

Results
ΔE to the lowest computed polymorph = 0.0 meV per atom
Magnetization = 0.004 μB/f.u.

6.
The following is a DFT calculation (GGA-PBEsol) of a geometry-optimized Cs3GaO3 structure.

Cell: 7.041 8.036 11.261 Å, 96.49 90.00 90.00°
Fractional positions:
Cs: 0.166 0.343 0.431
Cs: 0.834 0.657 0.569
O: 0.061 0.089 0.915
O: 0.439 0.089 0.415
Cs: 0.326 0.628 0.697
O: 0.687 0.237 0.037
Cs: 0.666 0.657 0.069
O: 0.055 0.278 0.182
Cs: 0.625 0.959 0.845
Cs: 0.334 0.343 0.931
Cs: 0.174 0.628 0.197
Cs: 0.125 0.041 0.655
O: 0.945 0.722 0.818
O: 0.187 0.763 0.463
Cs: 0.875 0.959 0.345
O: 0.561 0.911 0.585
Ga: 0.076 0.851 0.937
Ga: 0.924 0.149 0.063
O: 0.813 0.237 0.537
Cs: 0.375 0.041 0.155
O: 0.555 0.722 0.318
Ga: 0.424 0.851 0.437
O: 0.445 0.278 0.682
O: 0.313 0.763 0.963
Ga: 0.576 0.149 0.563
O: 0.939 0.911 0.085
Cs: 0.674 0.372 0.303
Cs: 0.826 0.372 0.803

Results
ΔE to the lowest computed polymorph = 0.0 meV per atom
Formation energy without anion corrections = -1569 meV/atom
Magnetization = 0.001 μB/f.u.

7.
The following is a DFT calculation (GGA-PBEsol) of a geometry-optimized KSr2In2 structure.

Cell: 4.066 9.499 9.499 Å, 90.00 90.00 90.00°
Fractional positions:
In: 0.000 0.615 0.115
Sr: 0.500 0.824 0.324
In: 0.000 0.385 0.885
In: 0.000 0.115 0.385
In: 0.000 0.885 0.615
Sr: 0.500 0.176 0.676
K: 0.000 0.000 0.000
Sr: 0.500 0.324 0.176
Sr: 0.500 0.676 0.824
K: 0.000 0.500 0.500

Results
ΔE to the lowest computed polymorph = 0.0 meV per atom
Magnetization = 0.000 μB/f.u.

8.
The following is a DFT calculation (GGA-PBEsol) of a geometry-optimized La2Al2Cr structure.

Cell: 4.288 4.288 7.603 Å, 106.38 106.38 90.00°
Fractional positions:
Al: 0.413 0.413 0.826
La: 0.250 0.750 0.500
Al: 0.587 0.587 0.174
La: 0.750 0.250 0.500
Cr: 0.000 0.000 0.000

Results
Magnetization = 3.477 μB/f.u.
Raw total energy = -0.38299 Ry per atom

Look up the magnetization of the fourth one. 1.198 μB/f.u.

Which value of magnetization does entry 4 give? 1.198 μB/f.u.

Look up the magnetization of the fifth one. 0.004 μB/f.u.

Among the records above, which one has the highest magnetization? La2Al2Cr